The following is a DFT calculation (GGA+U) of a relaxed structure of MnTlNF2.

Cell lengths 4.4824, 4.4824, 4.2493 Å; angles 90.00, 90.00, 90.00 degrees
Fractional positions:
Tl 0.0000 0.0000 0.0000
N 0.0000 0.0000 0.5000
F 0.0000 0.5000 0.0000
F 0.5000 0.0000 0.0000
Mn 0.5000 0.5000 0.5000

Results
energy above the lowest structure with this stoichiometry = 758 meV per atom